Density functional theory data (PBE) for ZrAs2 after structural relaxation.

Computed properties:
E_tot: -6.517 eV/atom

Lattice parameters (Å, degrees): 7.533 7.533 3.645 90.00 90.00 120.00
Sites, in units of the cell vectors:
As: 0.000 0.268 0.000
As: 0.410 0.410 0.500
As: 0.000 0.590 0.500
As: 0.732 0.732 0.000
As: 0.590 0.000 0.500
As: 0.268 0.000 0.000
Zr: 0.667 0.333 0.000
Zr: 0.000 0.000 0.500
Zr: 0.333 0.667 0.000

Density functional theory data (PBE) for ZrAs2 after structural relaxation.

Computed properties:
E_tot: -6.211 eV/atom

Lattice parameters (Å, degrees): 4.839 4.839 2.856 90.00 90.00 120.00
Sites, in units of the cell vectors:
As: 0.333 0.667 0.000
As: 0.667 0.333 0.000
Zr: 0.000 0.000 0.500

Quick rundown of formation energy, same order as above: -0.57, -0.26 eV/atom